Below is a relaxed structure of Ba2CeCd, with properties calculated at the PBE level.

Cell lengths 13.1368, 13.1368, 13.1368 Å; angles 16.91, 16.91, 16.91 degrees
Sites, in units of the cell vectors:
Ba (0.0944, 0.0944, 0.0944)
Ba (0.9056, 0.9056, 0.9056)
Ce (0.0000, 0.0000, 0.0000)
Cd (0.5000, 0.5000, 0.5000)

Properties
The value obtained for the energy is -2.37 eV per atom. The value obtained for the density of states at the Fermi level is 10.0 states/eV per cell. Its calculated volume is 41.81 Å³/atom. For the spin magnetization, the calculation gives 1.84 μB/f.u. As for the formation enthalpy at 0 K: 0.307 eV per atom.